A geometry-optimized KFeP2C structure, computed with PBE-GGA.

a b c (Å): 5.0739 4.2337 5.0739
angles (deg): 90.00 90.00 90.00
With the nearest neighbours (Å) after each atom.
Sites, in units of the cell vectors:
P: 0.0000 0.0000 0.5000  2 K 2.54
Fe: 0.5000 0.5000 0.5000  8 P 3.30, 4 C 3.59
P: 0.5000 0.0000 0.0000  2 K 2.54
K: 0.0000 0.0000 0.0000  2 C 2.12
C: 0.0000 0.5000 0.0000  2 K 2.12

Computed properties:
Formation enthalpy at 0 K ... 3339 meV/atom